No. 1
## ReSn3Pb (PBE)

Data for a relaxed structure of ReSn3Pb.

Cell and atoms, written as POSCAR:
```
ReSn3Pb
1.0
5.254 0.000 0.000
0.000 5.254 0.000
0.000 0.000 5.254
Re Sn Pb
1 3 1
Direct
0.000 0.000 0.000
0.000 0.000 0.500
0.000 0.500 0.000
0.500 0.000 0.000
0.500 0.500 0.500
```

Output
- energy above the most stable polymorph in this dataset (meV/atom) = 0
- magnetic moment (μB per cell) = 1.36
- Fermi-level density of states (states/eV/f.u.) = 5.59
- formation energy from the elements (eV per atom) = 0.44
- DFT total energy (eV per atom) = -5.193

No. 2
## TiRe2SnPb (PBE)

Data for a relaxed structure of TiRe2SnPb.

Cell and atoms, written as POSCAR:
```
TiRe2SnPb
1.0
4.716 0.000 0.000
0.000 4.716 0.000
0.000 0.000 5.169
Ti Re Sn Pb
1 2 1 1
Direct
0.000 0.000 0.000
0.000 0.500 0.000
0.500 0.000 0.000
0.000 0.000 0.500
0.500 0.500 0.500
```

Output
- magnetic moment (μB per cell) = 0.00
- Fermi-level density of states (states/eV/f.u.) = 6.08
- formation energy from the elements (eV per atom) = 1.48
- DFT total energy (eV per atom) = -6.624

No. 3
## SrRe2Pb (PBE)

Data for a relaxed structure of SrRe2Pb.

Cell and atoms, written as POSCAR:
```
SrRe2Pb
1.0
1.775 -2.288 0.000
1.775 2.288 0.000
0.000 0.000 10.358
Sr Re Pb
1 2 1
Direct
0.000 0.000 0.000
0.500 0.500 0.255
0.500 0.500 0.745
0.000 0.000 0.500
```

Output
- magnetic moment (μB per cell) = 0.00
- Fermi-level density of states (states/eV/f.u.) = 2.70
- formation energy from the elements (eV per atom) = 1.36
- DFT total energy (eV per atom) = -6.211

No. 4
## SrRe2Pb (PBE)

Data for a relaxed structure of SrRe2Pb.

Cell and atoms, written as POSCAR:
```
SrRe2Pb
1.0
-4.117 4.117 2.826
4.117 -4.117 2.826
4.117 4.117 -2.826
Sr Re Pb
2 4 2
Direct
0.000 0.000 0.000
0.750 0.250 0.500
0.167 0.625 0.042
0.375 0.417 0.542
0.583 0.125 0.958
0.875 0.833 0.458
0.250 0.750 0.500
0.500 0.500 0.000
```

Output
- magnetic moment (μB per cell) = 2.48
- Fermi-level density of states (states/eV/f.u.) = 4.91
- formation energy from the elements (eV per atom) = 1.67
- DFT total energy (eV per atom) = -5.905

No. 5
## SrRe2Pb (PBE)

Data for a relaxed structure of SrRe2Pb.

Cell and atoms, written as POSCAR:
```
SrRe2Pb
1.0
2.934 0.000 0.000
0.000 2.934 0.000
0.000 0.000 9.846
Sr Re Pb
1 2 1
Direct
0.000 0.000 0.000
0.500 0.500 0.264
0.500 0.500 0.736
0.000 0.000 0.500
```

Output
- magnetic moment (μB per cell) = 0.00
- Fermi-level density of states (states/eV/f.u.) = 4.60
- formation energy from the elements (eV per atom) = 1.41
- DFT total energy (eV per atom) = -6.160

No. 6
## Sr3RePb (PBE)

Data for a relaxed structure of Sr3RePb.

Cell and atoms, written as POSCAR:
```
Sr3RePb
1.0
5.770 0.000 0.000
0.000 5.770 0.000
0.000 0.000 5.770
Sr Re Pb
3 1 1
Direct
0.000 0.000 0.500
0.000 0.500 0.000
0.500 0.000 0.000
0.000 0.000 0.000
0.500 0.500 0.500
```

Output
- energy above the most stable polymorph in this dataset (meV/atom) = 0
- magnetic moment (μB per cell) = 0.00
- Fermi-level density of states (states/eV/f.u.) = 7.85
- formation energy from the elements (eV per atom) = 0.65
- DFT total energy (eV per atom) = -3.591

No. 7
## SrRe2Pb (PBE)

Data for a relaxed structure of SrRe2Pb.

Cell and atoms, written as POSCAR:
```
SrRe2Pb
1.0
3.771 0.000 0.000
0.000 3.771 0.000
0.000 0.000 6.752
Sr Re Pb
1 2 1
Direct
0.000 0.000 0.000
0.500 0.500 0.327
0.500 0.500 0.673
0.000 0.000 0.500
```

Output
- magnetic moment (μB per cell) = 0.00
- Fermi-level density of states (states/eV/f.u.) = 4.75
- formation energy from the elements (eV per atom) = 1.16
- DFT total energy (eV per atom) = -6.413

No. 8
## SrRePb2 (PBE)

Data for a relaxed structure of SrRePb2.

Cell and atoms, written as POSCAR:
```
SrRePb2
1.0
3.872 0.000 0.000
0.000 5.000 0.000
-1.930 0.000 5.761
Sr Re Pb
1 1 2
Direct
0.000 0.000 0.000
0.377 0.500 0.757
0.278 0.000 0.553
0.677 0.500 0.353
```

Output
- energy above the most stable polymorph in this dataset (meV/atom) = 290
- magnetic moment (μB per cell) = 0.00
- Fermi-level density of states (states/eV/f.u.) = 4.29
- formation energy from the elements (eV per atom) = 0.70
- DFT total energy (eV per atom) = -4.691

Q: Among the records above, which one has the highest formation energy from the elements?
A: number 4